Record 1
## Y3MnAg (PBEsol)

Data for a relaxed structure of Y3MnAg.

## Properties
D(E_F)   4.82 states/eV/f.u.
Spin magnetization   1.0 μB per cell
ΔE_f   0.277 eV/atom

abc: 5.0553 5.0553 5.0553
angles: 90.00 90.00 90.00
Last column: nearest neighbours and their distance in Å.
Fractional positions:
Y 0.0000 0.0000 0.5000  2 Mn 2.53
Y 0.0000 0.5000 0.0000  2 Mn 2.53
Y 0.5000 0.0000 0.0000  2 Mn 2.53
Mn 0.0000 0.0000 0.0000  6 Y 2.53
Ag 0.5000 0.5000 0.5000  12 Y 3.57


Record 2
## In5Pb (PBEsol)

Data for a relaxed structure of In5Pb.

## Properties
D(E_F)   2.56 states/eV/f.u.
Spin magnetization   0.0 μB per cell
ΔE_f   0.006 eV/atom

abc: 3.3231 3.3231 14.2212
angles: 90.00 90.00 90.00
Last column: nearest neighbours and their distance in Å.
Fractional positions:
In 0.0000 0.0000 0.0000  12 In 3.29-3.32
In 0.0000 0.0000 0.3247  8 In 3.30-3.32, 4 Pb 3.43
In 0.0000 0.0000 0.6753  8 In 3.30-3.32, 4 Pb 3.43
In 0.5000 0.5000 0.1622  12 In 3.29-3.32
In 0.5000 0.5000 0.8378  12 In 3.29-3.32
Pb 0.5000 0.5000 0.5000  4 Pb 3.32, 8 In 3.43


Record 3
## CeAsRh (PBEsol)

Data for a relaxed structure of CeAsRh.

## Properties
D(E_F)   1.22 states/eV/f.u.
Spin magnetization   0.2 μB per cell
ΔE_f   -1.122 eV/atom

abc: 4.2486 4.2486 7.4231
angles: 90.00 90.00 120.00
Last column: nearest neighbours and their distance in Å.
Fractional positions:
Ce 0.0000 0.0000 0.0000  6 As 3.08, 6 Rh 3.08
Ce 0.0000 0.0000 0.5000  6 As 3.08, 6 Rh 3.08
As 0.3333 0.6667 0.2500  3 Rh 2.45
As 0.6667 0.3333 0.7500  3 Rh 2.45
Rh 0.3333 0.6667 0.7500  3 As 2.45
Rh 0.6667 0.3333 0.2500  3 As 2.45


Record 4
## Hf2Si2Mo (PBEsol)

Data for a relaxed structure of Hf2Si2Mo.

## Properties
D(E_F)   1.48 states/eV/f.u.
Formation energy (no corrections)   -0.829 eV per atom
Spin magnetization   0.0 μB per cell

abc: 6.6142 6.6142 3.7225
angles: 90.00 90.00 90.00
Last column: nearest neighbours and their distance in Å.
Fractional positions:
Hf 0.1744 0.3256 0.0000  6 Si 2.62-2.75
Hf 0.3256 0.8256 0.0000  6 Si 2.62-2.75
Hf 0.6744 0.1744 0.0000  6 Si 2.62-2.75
Hf 0.8256 0.6744 0.0000  6 Si 2.62-2.75
Si 0.1280 0.6280 0.5000  1 Si 2.39, 2 Mo 2.60, 2 Hf 2.62
Si 0.3720 0.1280 0.5000  1 Si 2.39, 2 Mo 2.60, 2 Hf 2.62
Si 0.6280 0.8720 0.5000  1 Si 2.39, 2 Mo 2.60, 2 Hf 2.62
Si 0.8720 0.3720 0.5000  1 Si 2.39, 2 Mo 2.60, 2 Hf 2.62
Mo 0.0000 0.0000 0.5000  4 Si 2.60
Mo 0.5000 0.5000 0.5000  4 Si 2.60


Number 1: electronic total energy -6.43 eV per atom. Number 2: electronic total energy -3.15 eV per atom. Number 3: electronic total energy -7.74 eV per atom. Number 4: electronic total energy -9.68 eV per atom.